1.
The following is a GGA-PBE calculation of a geometry-optimized YNiBPd structure, from OQMD via LeMat-Bulk.

Results
- Distance to the lowest polymorph of the same formula: 0 meV/atom
- DFT total energy: -5.909 eV per atom

The structure in CIF format:
```
data_YNiBPd
_chemical_formula_sum 'Y4 Ni4 B4 Pd4'
_cell_length_a 6.174
_cell_length_b 6.174
_cell_length_c 6.174
_cell_angle_alpha 90.00
_cell_angle_beta 90.00
_cell_angle_gamma 90.00
_symmetry_space_group_name_H-M 'F -4 3 m'
_symmetry_Int_Tables_number 216
_symmetry_space_group_name_Hall 'F -4 2 3'
loop_
_atom_site_label
_atom_site_fract_x
_atom_site_fract_y
_atom_site_fract_z
Y1 0.000 0.000 0.000
Ni1 0.250 0.250 0.750
B1 0.250 0.250 0.250
Pd1 0.000 0.000 0.500
```

=====

2.
The following is a GGA-PBE calculation of a geometry-optimized SmReMo structure, from OQMD via LeMat-Bulk.

Results
- ΔH_f (0 K): 1.96 eV per atom
- Distance to the lowest polymorph of the same formula: 1532 meV/atom
- DFT total energy: -7.367 eV per atom

The structure in CIF format:
```
data_SmReMo
_chemical_formula_sum 'Sm4 Re4 Mo4'
_cell_length_a 6.431
_cell_length_b 6.431
_cell_length_c 6.431
_cell_angle_alpha 90.00
_cell_angle_beta 90.00
_cell_angle_gamma 90.00
_symmetry_space_group_name_H-M 'F -4 3 m'
_symmetry_Int_Tables_number 216
_symmetry_space_group_name_Hall 'F -4 2 3'
loop_
_atom_site_label
_atom_site_fract_x
_atom_site_fract_y
_atom_site_fract_z
Sm1 0.000 0.000 0.000
Re1 0.250 0.250 0.250
Mo1 0.250 0.250 0.750
```

=====

3.
The following is a GGA-PBE calculation of a geometry-optimized LuCdGaCu structure, from OQMD via LeMat-Bulk.

Results
- Distance to the lowest polymorph of the same formula: 0 meV/atom
- DFT total energy: -3.224 eV per atom

The structure in CIF format:
```
data_LuCdGaCu
_chemical_formula_sum 'Lu4 Cd4 Ga4 Cu4'
_cell_length_a 6.694
_cell_length_b 6.694
_cell_length_c 6.694
_cell_angle_alpha 90.00
_cell_angle_beta 90.00
_cell_angle_gamma 90.00
_symmetry_space_group_name_H-M 'F -4 3 m'
_symmetry_Int_Tables_number 216
_symmetry_space_group_name_Hall 'F -4 2 3'
loop_
_atom_site_label
_atom_site_fract_x
_atom_site_fract_y
_atom_site_fract_z
Lu1 0.000 0.000 0.000
Cd1 0.250 0.250 0.750
Ga1 0.250 0.250 0.250
Cu1 0.000 0.000 0.500
```

=====

4.
The following is a GGA-PBE calculation of a geometry-optimized YGaAu2 structure, from OQMD via LeMat-Bulk.

Results
- DFT total energy: -4.590 eV per atom

The structure in CIF format:
```
data_YGaAu2
_chemical_formula_sum 'Y4 Ga4 Au8'
_cell_length_a 6.833
_cell_length_b 6.833
_cell_length_c 6.833
_cell_angle_alpha 90.00
_cell_angle_beta 90.00
_cell_angle_gamma 90.00
_symmetry_space_group_name_H-M 'F -4 3 m'
_symmetry_Int_Tables_number 216
_symmetry_space_group_name_Hall 'F -4 2 3'
loop_
_atom_site_label
_atom_site_fract_x
_atom_site_fract_y
_atom_site_fract_z
Y1 0.000 0.000 0.000
Ga1 0.250 0.250 0.750
Au1 0.000 0.000 0.500
Au2 0.250 0.250 0.250
```

=====

5.
The following is a GGA-PBE calculation of a geometry-optimized InTe5Ir3 structure, from OQMD via LeMat-Bulk.

Results
- DFT total energy: -4.916 eV per atom

The structure in CIF format:
```
data_InTe5Ir3
_chemical_formula_sum 'In1 Te5 Ir3'
_cell_length_a 5.8523
_cell_length_b 5.8523
_cell_length_c 7.8192
_cell_angle_alpha 90.00
_cell_angle_beta 90.00
_cell_angle_gamma 120.00
_symmetry_space_group_name_H-M 'P 6/m m m'
_symmetry_Int_Tables_number 191
_symmetry_space_group_name_Hall '-P 6 2'
loop_
_atom_site_label
_atom_site_fract_x
_atom_site_fract_y
_atom_site_fract_z
In1 0.0000 0.0000 0.0000
Te1 0.0000 0.0000 0.5000
Te2 0.3333 0.6667 0.2295
Ir1 0.0000 0.5000 0.5000
```

=====

6.
The following is a GGA-PBE calculation of a geometry-optimized LuTlCuSe3 structure, from OQMD via LeMat-Bulk.

Results
- DFT total energy: -4.434 eV per atom

The structure in CIF format:
```
data_LuTlCuSe3
_chemical_formula_sum 'Lu2 Tl2 Cu2 Se6'
_cell_length_a 9.018
_cell_length_b 3.972
_cell_length_c 9.495
_cell_angle_alpha 90.00
_cell_angle_beta 109.74
_cell_angle_gamma 90.00
_symmetry_space_group_name_H-M 'P 1 21/m 1'
_symmetry_Int_Tables_number 11
loop_
_symmetry_equiv_pos_as_xyz
'x,y,z'
'-x,-y,-z'
'-x,y+1/2,-z'
'x,-y+1/2,z'
loop_
_atom_site_label
_atom_site_fract_x
_atom_site_fract_y
_atom_site_fract_z
Lu1 0.177 0.250 0.146
Tl1 0.291 0.750 0.766
Cu1 0.418 0.750 0.401
Se1 0.036 0.250 0.835
Se2 0.297 0.250 0.467
Se3 0.391 0.750 0.136
```

=====

7.
The following is a GGA-PBE calculation of a geometry-optimized ErScMo structure, from OQMD via LeMat-Bulk.

Results
- ΔH_f (0 K): 1.09 eV per atom
- Distance to the lowest polymorph of the same formula: 0 meV/atom
- DFT total energy: -6.155 eV per atom

The structure in CIF format:
```
data_ErScMo
_chemical_formula_sum 'Er4 Sc4 Mo4'
_cell_length_a 6.654
_cell_length_b 6.654
_cell_length_c 6.654
_cell_angle_alpha 90.00
_cell_angle_beta 90.00
_cell_angle_gamma 90.00
_symmetry_space_group_name_H-M 'F -4 3 m'
_symmetry_Int_Tables_number 216
_symmetry_space_group_name_Hall 'F -4 2 3'
loop_
_atom_site_label
_atom_site_fract_x
_atom_site_fract_y
_atom_site_fract_z
Er1 0.000 0.000 0.000
Sc1 0.250 0.250 0.250
Mo1 0.000 0.000 0.500
```

=====

8.
The following is a GGA-PBE calculation of a geometry-optimized GdTm2Ni4Ge4 structure, from OQMD via LeMat-Bulk.

Results
- DFT total energy: -5.693 eV per atom

The structure in CIF format:
```
data_GdTm2Ni4Ge4
_chemical_formula_sum 'Gd2 Tm4 Ni8 Ge8'
_cell_length_a 4.056
_cell_length_b 6.756
_cell_length_c 13.431
_cell_angle_alpha 90.00
_cell_angle_beta 90.00
_cell_angle_gamma 90.00
_symmetry_space_group_name_H-M 'I m m m'
_symmetry_Int_Tables_number 71
_symmetry_space_group_name_Hall '-I 2 2'
loop_
_atom_site_label
_atom_site_fract_x
_atom_site_fract_y
_atom_site_fract_z
Gd1 0.000 0.000 0.000
Tm1 0.000 0.500 0.129
Ni1 0.000 0.304 0.322
Ge1 0.000 0.000 0.219
Ge2 0.000 0.192 0.500
```

=====

9.
The following is a GGA-PBE calculation of a geometry-optimized NaHfAlSe3 structure, from OQMD via LeMat-Bulk.

Results
- DFT total energy: -5.114 eV per atom

The structure in CIF format:
```
data_NaHfAlSe3
_chemical_formula_sum 'Na4 Hf4 Al4 Se12'
_cell_length_a 3.684
_cell_length_b 14.597
_cell_length_c 10.020
_cell_angle_alpha 90.00
_cell_angle_beta 90.00
_cell_angle_gamma 90.00
_symmetry_space_group_name_H-M 'C m c m'
_symmetry_Int_Tables_number 63
_symmetry_space_group_name_Hall '-C 2c 2'
loop_
_atom_site_label
_atom_site_fract_x
_atom_site_fract_y
_atom_site_fract_z
Na1 0.000 0.241 0.250
Hf1 0.000 0.000 0.000
Al1 0.000 0.467 0.750
Se1 0.000 0.084 0.750
Se2 0.000 0.365 0.558
```

=====

10.
The following is a GGA-PBE calculation of a geometry-optimized Gd2Pb structure, from OQMD via LeMat-Bulk.

Results
- Distance to the lowest polymorph of the same formula: 0 meV/atom
- DFT total energy: -4.724 eV per atom

The structure in CIF format:
```
data_Gd2Pb
_chemical_formula_sum 'Gd8 Pb4'
_cell_length_a 8.168
_cell_length_b 4.602
_cell_length_c 9.839
_cell_angle_alpha 90.00
_cell_angle_beta 90.00
_cell_angle_gamma 90.00
_symmetry_space_group_name_H-M 'P n m a'
_symmetry_Int_Tables_number 62
loop_
_symmetry_equiv_pos_as_xyz
'x,y,z'
'-x,-y,-z'
'-x+1/2,-y,z+1/2'
'x+1/2,y,-z+1/2'
'x+1/2,-y+1/2,-z+1/2'
'-x+1/2,y+1/2,z+1/2'
'-x,y+1/2,-z'
'x,-y+1/2,z'
loop_
_atom_site_label
_atom_site_fract_x
_atom_site_fract_y
_atom_site_fract_z
Gd1 0.046 0.250 0.173
Gd2 0.133 0.250 0.565
Pb1 0.236 0.250 0.870
```

=====

11.
The following is a GGA-PBE calculation of a geometry-optimized TbBiAu2 structure, from OQMD via LeMat-Bulk.

Results
- DFT total energy: -4.313 eV per atom

The structure in CIF format:
```
data_TbBiAu2
_chemical_formula_sum 'Tb2 Bi2 Au4'
_cell_length_a 4.597
_cell_length_b 3.824
_cell_length_c 11.079
_cell_angle_alpha 90.00
_cell_angle_beta 90.00
_cell_angle_gamma 90.00
_symmetry_space_group_name_H-M 'A m m 2'
_symmetry_Int_Tables_number 38
loop_
_symmetry_equiv_pos_as_xyz
'x,y,z'
'-x,-y,z'
'-x,y,z'
'x,-y,z'
'x,y+1/2,z+1/2'
'-x,-y+1/2,z+1/2'
'-x,y+1/2,z+1/2'
'x,-y+1/2,z+1/2'
loop_
_atom_site_label
_atom_site_fract_x
_atom_site_fract_y
_atom_site_fract_z
Tb1 0.000 0.000 0.000
Bi1 0.500 0.000 0.710
Au1 0.000 0.000 0.281
Au2 0.500 0.000 0.443
```

=====

12.
The following is a GGA-PBE calculation of a geometry-optimized BeBAsOs structure, from OQMD via LeMat-Bulk.

Results
- Distance to the lowest polymorph of the same formula: 109 meV/atom
- DFT total energy: -5.701 eV per atom

The structure in CIF format:
```
data_BeBAsOs
_chemical_formula_sum 'Be4 B4 As4 Os4'
_cell_length_a 5.693
_cell_length_b 5.693
_cell_length_c 5.693
_cell_angle_alpha 90.00
_cell_angle_beta 90.00
_cell_angle_gamma 90.00
_symmetry_space_group_name_H-M 'F -4 3 m'
_symmetry_Int_Tables_number 216
_symmetry_space_group_name_Hall 'F -4 2 3'
loop_
_atom_site_label
_atom_site_fract_x
_atom_site_fract_y
_atom_site_fract_z
Be1 0.000 0.000 0.000
B1 0.000 0.000 0.500
As1 0.250 0.250 0.250
Os1 0.250 0.250 0.750
```

=====

Look up the DFT total energy of the third one. -3.224 eV per atom

=====

What is the formula in the first record? YNiBPd

=====

Among the records above, which one has the lowest DFT total energy? SmReMo